Entry 1:
SmHg5 after structural relaxation. Source: Alexandria via LeMat-Bulk, functional GGA-PBE.

Total DFT energy (no corrections), eV/atom: -1.28
N(E_F), states/eV/cell: 5.79
Crystal system: orthorhombic
Size of the total moment, μB/f.u.: 0.0

Lattice parameters (Å, degrees): 4.5160 13.6593 4.8974 90.00 90.00 90.00
Space group Cmmm (No. 65)
One atom of each set of equivalent atoms:
Sm1 0.0000 0.0000 0.0000 [2 per cell]
Hg1 0.0000 0.1644 0.5000 [4 per cell]
Hg2 0.0000 0.3305 0.0000 [4 per cell]
Hg3 0.0000 0.5000 0.5000 [2 per cell]


Entry 2:
MgBe3In after structural relaxation. Source: Alexandria via LeMat-Bulk, functional GGA-PBE.

Total DFT energy (no corrections), eV/atom: -1.78
N(E_F), states/eV/cell: 1.45
Crystal system: cubic
Offset from the most stable computed form, eV/atom: 0.218
Size of the total moment, μB/f.u.: 0.0

Lattice parameters (Å, degrees): 4.5852 4.5852 4.5852 90.00 90.00 90.00
Space group Pm-3m (No. 221)
One atom of each set of equivalent atoms:
Mg1 0.0000 0.0000 0.0000 [1 per cell]
Be1 0.0000 0.0000 0.5000 [3 per cell]
In1 0.5000 0.5000 0.5000 [1 per cell]


Entry 3:
TbHoFe4 after structural relaxation. Source: Alexandria via LeMat-Bulk, functional GGA-PBE.

Total DFT energy (no corrections), eV/atom: -7.26
N(E_F), states/eV/cell: 32.89
Crystal system: cubic
Size of the total moment, μB/f.u.: 6.9

Lattice parameters (Å, degrees): 7.2568 7.2568 7.2568 90.00 90.00 90.00
Space group F-43m (No. 216)
One atom of each set of equivalent atoms:
Tb1 0.0000 0.0000 0.0000 [4 per cell]
Ho1 0.2500 0.2500 0.7500 [4 per cell]
Fe1 0.1249 0.1249 0.3751 [16 per cell]


Entry 4:
Y3Ho2ErTe6 after structural relaxation. Source: Alexandria via LeMat-Bulk, functional GGA-PBE.

Total DFT energy (no corrections), eV/atom: -5.60
N(E_F), states/eV/cell: 12.93
Crystal system: monoclinic
Size of the total moment, μB/f.u.: 0.0

Lattice parameters (Å, degrees): 18.9599 4.3302 8.7371 90.00 103.47 90.00
Space group C2/m (No. 12)
One atom of each set of equivalent atoms:
Y1 0.0000 0.0000 0.0000 [2 per cell]
Y2 0.1674 0.5000 0.3326 [4 per cell]
Ho1 0.1673 0.5000 0.8336 [4 per cell]
Er1 0.0000 0.0000 0.5000 [2 per cell]
Te1 0.9995 0.5000 0.2527 [4 per cell]
Te2 0.1654 0.0000 0.5838 [4 per cell]
Te3 0.1669 0.0000 0.0813 [4 per cell]


Entry 5:
Cs2Cd6Pd after structural relaxation. Source: Alexandria via LeMat-Bulk, functional GGA-PBE.

Total DFT energy (no corrections), eV/atom: -1.42
N(E_F), states/eV/cell: 4.66
Crystal system: trigonal
Offset from the most stable computed form, eV/atom: 0.046
Size of the total moment, μB/f.u.: 0.0

Lattice parameters (Å, degrees): 7.3235 7.3235 6.3839 90.00 90.00 120.00
Space group P-3m1 (No. 164)
One atom of each set of equivalent atoms:
Cs1 0.3333 0.6667 0.3215 [2 per cell]
Cd1 0.1569 0.3137 0.8097 [6 per cell]
Pd1 0.0000 0.0000 0.5000 [1 per cell]


Entry 6:
ZnFe2TcSn after structural relaxation. Source: Alexandria via LeMat-Bulk, functional GGA-PBE.

Total DFT energy (no corrections), eV/atom: -4.78
N(E_F), states/eV/cell: 5.99
Crystal system: tetragonal
Size of the total moment, μB/f.u.: 8.2

Lattice parameters (Å, degrees): 4.6082 4.6082 4.6952 90.00 90.00 90.00
Space group P4/mmm (No. 123)
One atom of each set of equivalent atoms:
Zn1 0.0000 0.0000 0.0000 [1 per cell]
Fe1 0.0000 0.5000 0.5000 [2 per cell]
Tc1 0.5000 0.5000 0.0000 [1 per cell]
Sn1 0.0000 0.0000 0.5000 [1 per cell]


Entry 7:
Ba2MgBr after structural relaxation. Source: Alexandria via LeMat-Bulk, functional GGA-PBE.

Total DFT energy (no corrections), eV/atom: -2.53
N(E_F), states/eV/cell: 3.97
Crystal system: orthorhombic
Offset from the most stable computed form, eV/atom: 0.000
Size of the total moment, μB/f.u.: 0.2

Lattice parameters (Å, degrees): 4.3162 4.4232 9.5863 90.00 90.00 90.00
Space group Pmmm (No. 47)
One atom of each set of equivalent atoms:
Ba1 0.0000 0.0000 0.2300 [2 per cell]
Mg1 0.5000 0.5000 0.0000 [1 per cell]
Br1 0.5000 0.0000 0.5000 [1 per cell]


Entry 8:
Dy3YHo2Er6 after structural relaxation. Source: Alexandria via LeMat-Bulk, functional GGA-PBE.

Total DFT energy (no corrections), eV/atom: -4.71
N(E_F), states/eV/cell: 33.28
Crystal system: monoclinic
Size of the total moment, μB/f.u.: 0.0

Lattice parameters (Å, degrees): 6.1060 10.5628 11.6731 90.00 100.00 90.00
Space group C2/m (No. 12)
One atom of each set of equivalent atoms:
Dy1 0.0000 0.0000 0.0000 [2 per cell]
Dy2 0.0000 0.3334 0.0000 [4 per cell]
Y1 0.0000 0.5000 0.5000 [2 per cell]
Ho1 0.0000 0.1667 0.5000 [4 per cell]
Er1 0.2494 0.0000 0.7501 [4 per cell]
Er2 0.2494 0.1671 0.2500 [8 per cell]


Entry 9:
PuMgZn after structural relaxation. Source: Alexandria via LeMat-Bulk, functional GGA-PBE.

Total DFT energy (no corrections), eV/atom: -5.62
N(E_F), states/eV/cell: 5.81
Crystal system: trigonal
Size of the total moment, μB/f.u.: 4.8

Lattice parameters (Å, degrees): 2.9803 2.9803 7.9966 90.00 90.00 120.00
Space group P3m1 (No. 156)
One atom of each set of equivalent atoms:
Pu1 0.0000 0.0000 0.0000 [1 per cell]
Mg1 0.6667 0.3333 0.3674 [1 per cell]
Zn1 0.3333 0.6667 0.6708 [1 per cell]


Entry 10:
K2MnGaGe after structural relaxation. Source: Alexandria via LeMat-Bulk, functional GGA-PBE.

Total DFT energy (no corrections), eV/atom: -3.07
N(E_F), states/eV/cell: 3.40
Crystal system: tetragonal
Size of the total moment, μB/f.u.: 4.7

Lattice parameters (Å, degrees): 5.9101 5.9101 4.6788 90.00 90.00 90.00
Space group P4/mmm (No. 123)
One atom of each set of equivalent atoms:
K1 0.0000 0.5000 0.0000 [2 per cell]
Mn1 0.0000 0.0000 0.5000 [1 per cell]
Ga1 0.5000 0.5000 0.5000 [1 per cell]
Ge1 0.5000 0.5000 0.0000 [1 per cell]